Record 1
A plane-wave DFT calculation with GGA-PBE was carried out for crystalline Be2Pt at its relaxed geometry.

The value obtained for the formation energy is -0.552 eV/atom. The calculation puts the total magnetization at 0.00 μB per atom. The energy above the most stable polymorph in this dataset is 95 meV/atom. The total energy is -5.050 eV/atom.

The structure belongs to space group C2/m (No. 12); the cell edges are 7.5452, 3.6589 and 4.7695 Å and the angles 90.00°, 102.14° and 90.00°. The distinct sites, in fractional coordinates, are Be at (0.0000, 0.0000, 0.0000), Be at (0.0000, 0.0000, 0.5000), Be at (0.1846, 0.5000, 0.3317) and Pt at (0.1343, 0.5000, 0.8082).

***

Record 2
A plane-wave DFT calculation with GGA-PBE was carried out for crystalline Sr3BiPd8 at its relaxed geometry.

The value obtained for the formation energy is -0.521 eV/atom. The calculation puts the total magnetization at 0.00 μB per atom. The total energy is -4.727 eV/atom.

The structure belongs to space group R3m (No. 160, hexagonal axes); the cell edges are 5.6107, 5.6107 and 27.1110 Å and the angles 90.00°, 90.00° and 120.00°. The distinct sites, in fractional coordinates, are Sr at (0.0000, 0.0000, 0.0000), Sr at (0.0000, 0.0000, 0.1283), Sr at (0.0000, 0.0000, 0.6177), Bi at (0.0000, 0.0000, 0.4888), Pd at (0.0000, 0.0000, 0.3133), Pd at (0.0000, 0.0000, 0.8140), Pd at (0.1674, 0.3349, 0.3967) and Pd at (0.1674, 0.3349, 0.8959).

***

Record 3
A plane-wave DFT calculation with GGA-PBE was carried out for crystalline Pm2Sm8Ga at its relaxed geometry.

The value obtained for the formation energy is -0.015 eV/atom. The calculation puts the total magnetization at 0.00 μB per atom. The total energy is -4.586 eV/atom.

The structure belongs to space group C2/m (No. 12); the cell edges are 18.9839, 5.5442 and 7.5436 Å and the angles 90.00°, 113.37° and 90.00°. The distinct sites, in fractional coordinates, are Pm at (0.1917, 0.0000, 0.1916), Sm at (0.0002, 0.0000, 0.2554), Sm at (0.1310, 0.5000, 0.3674), Sm at (0.1306, 0.5000, 0.8950), Sm at (0.1817, 0.0000, 0.6820) and Ga at (0.0000, 0.5000, 0.5000).

***

Record 4
A plane-wave DFT calculation with GGA-PBE was carried out for crystalline NdZn2Hg at its relaxed geometry.

The value obtained for the formation energy is -0.290 eV/atom. The calculation puts the total magnetization at 0.00 μB per atom. The energy above the most stable polymorph in this dataset is 4 meV/atom. The total energy is -2.194 eV/atom.

The structure belongs to space group Fm-3m (No. 225); the cell edges are 6.9528, 6.9528 and 6.9528 Å and the angles 90.00°, 90.00° and 90.00°. The distinct sites, in fractional coordinates, are Nd at (0.0000, 0.0000, 0.0000), Zn at (0.2500, 0.2500, 0.2500) and Hg at (0.0000, 0.0000, 0.5000).

***

Record 5
A plane-wave DFT calculation with GGA-PBE was carried out for crystalline Pu2Ga3PdAu4 at its relaxed geometry.

The value obtained for the formation energy is -0.384 eV/atom. The calculation puts the total magnetization at 1.11 μB per atom. The total energy is -5.989 eV/atom.

The structure belongs to space group P-4m2 (No. 115); the cell edges are 4.2134, 4.2134 and 11.6001 Å and the angles 90.00°, 90.00° and 90.00°. The distinct sites, in fractional coordinates, are Pu at (0.0000, 0.5000, 0.2458), Ga at (0.0000, 0.0000, 0.0000), Ga at (0.0000, 0.5000, 0.6332), Pd at (0.5000, 0.5000, 0.0000), Au at (0.0000, 0.0000, 0.5000), Au at (0.0000, 0.5000, 0.8495) and Au at (0.5000, 0.5000, 0.5000).

***

Record 6
A plane-wave DFT calculation with GGA-PBE was carried out for crystalline RbLi2NbO4 at its relaxed geometry.

The value obtained for the energy relative to the elements, uncorrected is -2218 meV per atom. The calculation puts the total magnetization at 0.00 μB per atom. The total energy is -6.556 eV/atom.

The structure belongs to space group I-42m (No. 121); the cell edges are 5.6064, 5.6064 and 7.6070 Å and the angles 90.00°, 90.00° and 90.00°. The distinct sites, in fractional coordinates, are Rb at (0.0000, 0.0000, 0.0000), Li at (0.0000, 0.5000, 0.2500), Nb at (0.0000, 0.0000, 0.5000) and O at (0.1897, 0.1897, 0.3505).

***

Record 7
A plane-wave DFT calculation with GGA-PBE was carried out for crystalline Tb6AlTe3As2 at its relaxed geometry.

The value obtained for the energy relative to the elements, uncorrected is -1260 meV per atom. The calculation puts the total magnetization at 0.00 μB per atom. The total energy is -5.447 eV/atom.

The structure belongs to space group C2/m (No. 12); the cell edges are 18.8180, 4.1975 and 8.7388 Å and the angles 90.00°, 104.52° and 90.00°. The distinct sites, in fractional coordinates, are Tb at (0.0060, 0.0000, 0.2426), Tb at (0.1622, 0.5000, 0.1003), Tb at (0.1738, 0.5000, 0.5663), Al at (0.0000, 0.5000, 0.0000), Te at (0.0000, 0.5000, 0.5000), Te at (0.1674, 0.0000, 0.8312) and As at (0.1676, 0.0000, 0.3355).

***

Record 8
A plane-wave DFT calculation with GGA-PBE was carried out for crystalline SmYSn2 at its relaxed geometry.

The value obtained for the formation energy is -0.647 eV/atom. The calculation puts the total magnetization at 0.00 μB per atom. The total energy is -5.445 eV/atom.

The structure belongs to space group P4/mmm (No. 123); the cell edges are 4.9158, 4.9158 and 4.4842 Å and the angles 90.00°, 90.00° and 90.00°. The distinct sites, in fractional coordinates, are Sm at (0.0000, 0.0000, 0.0000), Y at (0.5000, 0.5000, 0.0000) and Sn at (0.0000, 0.5000, 0.5000).

***

Record 9
A plane-wave DFT calculation with GGA-PBE was carried out for crystalline Rb2TlPbBr6 at its relaxed geometry.

The value obtained for the energy relative to the elements, uncorrected is -1124 meV per atom. The calculation puts the total magnetization at 0.00 μB per atom. The energy above the most stable polymorph in this dataset is 33 meV/atom. The total energy is -2.929 eV/atom.

The structure belongs to space group I4/mmm (No. 139); the cell edges are 8.3683, 8.3683 and 11.8020 Å and the angles 90.00°, 90.00° and 90.00°. The distinct sites, in fractional coordinates, are Rb at (0.0000, 0.5000, 0.2500), Tl at (0.0000, 0.0000, 0.0000), Pb at (0.0000, 0.0000, 0.5000), Br at (0.0000, 0.0000, 0.2510) and Br at (0.2488, 0.2488, 0.5000).

***

Record 10
A plane-wave DFT calculation with GGA-PBE was carried out for crystalline Ba2AgAsO at its relaxed geometry.

The value obtained for the energy relative to the elements, uncorrected is -1333 meV per atom. The calculation puts the total magnetization at 0.00 μB per atom. The total energy is -4.594 eV/atom.

The structure belongs to space group P2_1/m (No. 11); the cell edges are 7.2804, 4.3920 and 8.9508 Å and the angles 90.00°, 107.61° and 90.00°. The distinct sites, in fractional coordinates, are Ba at (0.1911, 0.2500, 0.3796), Ba at (0.2182, 0.2500, 0.9696), Ag at (0.4835, 0.7500, 0.2571), As at (0.3157, 0.7500, 0.6974) and O at (0.1447, 0.7500, 0.1645).

***

Record 11
A plane-wave DFT calculation with GGA-PBE was carried out for crystalline Eu2HoCu at its relaxed geometry.

The value obtained for the formation energy is 0.035 eV/atom. The calculation puts the total magnetization at 3.74 μB per atom. The energy above the most stable polymorph in this dataset is 0 meV/atom. The total energy is -7.271 eV/atom.

The structure belongs to space group P4/mmm (No. 123); the cell edges are 3.6566, 3.6566 and 8.9573 Å and the angles 90.00°, 90.00° and 90.00°. The distinct sites, in fractional coordinates, are Eu at (0.0000, 0.0000, 0.1974), Ho at (0.5000, 0.5000, 0.5000) and Cu at (0.5000, 0.5000, 0.0000).

***

Record 12
A plane-wave DFT calculation with GGA-PBE was carried out for crystalline Ti2VCuS at its relaxed geometry.

The value obtained for the energy relative to the elements, uncorrected is 734 meV per atom. The calculation puts the total magnetization at 0.63 μB per atom. The energy above the most stable polymorph in this dataset is 178 meV/atom. The total energy is -5.893 eV/atom.

The structure belongs to space group P4/mmm (No. 123); the cell edges are 4.5750, 4.5750 and 4.5464 Å and the angles 90.00°, 90.00° and 90.00°. The distinct sites, in fractional coordinates, are Ti at (0.0000, 0.5000, 0.0000), V at (0.0000, 0.0000, 0.5000), Cu at (0.0000, 0.0000, 0.0000) and S at (0.5000, 0.5000, 0.5000).

***

Q: What is the total energy in the seventh record?
A: -5.447 eV/atom

***

Q: What is the total energy in the first record?
A: -5.050 eV/atom

***

Please write out number 6 again, unchanged.
A plane-wave DFT calculation with GGA-PBE was carried out for crystalline RbLi2NbO4 at its relaxed geometry.

The value obtained for the energy relative to the elements, uncorrected is -2218 meV per atom. The calculation puts the total magnetization at 0.00 μB per atom. The total energy is -6.556 eV/atom.

The structure belongs to space group I-42m (No. 121); the cell edges are 5.6064, 5.6064 and 7.6070 Å and the angles 90.00°, 90.00° and 90.00°. The distinct sites, in fractional coordinates, are Rb at (0.0000, 0.0000, 0.0000), Li at (0.0000, 0.5000, 0.2500), Nb at (0.0000, 0.0000, 0.5000) and O at (0.1897, 0.1897, 0.3505).